# 1
First-principles (PBE) data for a relaxed Gd2YIr crystal, as listed in Alexandria via LeMat-Bulk.

Lattice parameters (Å, degrees): 3.8831 3.8831 28.1195 90.00 90.00 120.00
Last column: nearest neighbours and their distance in Å.
Space group R-3m (No. 166, hexagonal axes)
Inequivalent atoms, fractional coordinates:
Gd (0.0000, 0.0000, 0.2250) [6 per cell]  3 Ir 2.78
Y (0.0000, 0.0000, 0.0000) [3 per cell]  6 Gd 3.78, 6 Y 3.88
Ir (0.0000, 0.0000, 0.5000) [3 per cell]  6 Gd 2.78

Summary:
Energy above the lowest structure with this stoichiometry, meV/atom: 56
Total energy, hartree per atom: -0.4105

---

# 2
First-principles (PBE) data for a relaxed SmHo3Te6 crystal, as listed in Alexandria via LeMat-Bulk.

Lattice parameters (Å, degrees): 7.7095 7.7095 21.0955 90.00 90.00 120.00
Last column: nearest neighbours and their distance in Å.
Space group R3 (No. 146, hexagonal axes)
Inequivalent atoms, fractional coordinates:
Sm (0.0000, 0.0000, 0.0000) [3 per cell]  6 Te 3.11-3.17
Ho (0.0000, 0.0000, 0.1865) [3 per cell]  6 Te 3.05-3.10
Ho (0.0000, 0.0000, 0.5012) [3 per cell]  6 Te 3.06-3.10
Ho (0.0000, 0.0000, 0.6874) [3 per cell]  6 Te 3.06-3.09
Te (0.0188, 0.6702, 0.7626) [9 per cell]  3 Ho 3.06-3.10, 1 Sm 3.17
Te (0.0278, 0.3519, 0.2611) [9 per cell]  3 Ho 3.05-3.10, 1 Sm 3.11

Summary:
Energy above the lowest structure with this stoichiometry, meV/atom: 28
ΔE_f (raw), eV per formula unit: -13.58
Total energy, hartree per atom: -0.1870

---

# 3
First-principles (PBE) data for a relaxed GeP2N crystal, as listed in Alexandria via LeMat-Bulk.

Lattice parameters (Å, degrees): 3.8773 3.8773 17.2085 90.00 90.00 120.00
Last column: nearest neighbours and their distance in Å.
Space group R-3m (No. 166, hexagonal axes)
Inequivalent atoms, fractional coordinates:
Ge (0.0000, 0.0000, 0.0000) [3 per cell]  6 P 2.58
P (0.0000, 0.0000, 0.4079) [6 per cell]  1 N 1.58
N (0.0000, 0.0000, 0.5000) [3 per cell]  2 P 1.58

Summary:
Energy above the lowest structure with this stoichiometry, meV/atom: 0
ΔE_f (raw), eV per formula unit: 0.76
Total energy, hartree per atom: -0.2113

---

# 4
First-principles (PBE) data for a relaxed CePr2NdSb4 crystal, as listed in Alexandria via LeMat-Bulk.

Lattice parameters (Å, degrees): 7.8534 4.5304 7.8539 90.00 109.37 90.00
Last column: nearest neighbours and their distance in Å.
Space group P2/m (No. 10)
Inequivalent atoms, fractional coordinates:
Ce (0.0000, 0.0000, 0.0000) [1 per cell]  6 Sb 3.17-3.18
Pr (0.0000, 0.5000, 0.5000) [1 per cell]  6 Sb 3.21-3.22
Pr (0.5000, 0.0000, 0.5000) [1 per cell]  6 Sb 3.23
Nd (0.5000, 0.5000, 0.0000) [1 per cell]  6 Sb 3.20
Sb (0.2469, 0.5000, 0.2456) [2 per cell]  2 Ce 3.18, 1 Nd 3.20, 3 Pr 3.21-3.23
Sb (0.2490, 0.0000, 0.7537) [2 per cell]  1 Ce 3.17, 2 Nd 3.20, 3 Pr 3.22-3.23

Summary:
ΔE_f (raw), eV per formula unit: -9.26
Total energy, hartree per atom: -0.2114

---

# 5
First-principles (PBE) data for a relaxed Mg2BI crystal, as listed in Alexandria via LeMat-Bulk.

Lattice parameters (Å, degrees): 6.5083 6.5083 10.0941 90.00 90.00 90.00
Last column: nearest neighbours and their distance in Å.
Space group I-42d (No. 122)
Inequivalent atoms, fractional coordinates:
Mg (0.1603, 0.2500, 0.1250) [8 per cell]  2 B 2.31
B (0.0000, 0.0000, 0.0000) [4 per cell]  4 Mg 2.31
I (0.0000, 0.0000, 0.5000) [4 per cell]  4 Mg 3.02

Summary:
Energy above the lowest structure with this stoichiometry, meV/atom: 0
ΔE_f (raw), eV per formula unit: 1.56
Total energy, hartree per atom: -0.0906

---

# 6
First-principles (PBE) data for a relaxed MgGa2Si2Pd5 crystal, as listed in Alexandria via LeMat-Bulk.

Lattice parameters (Å, degrees): 9.8816 9.8816 3.2438 90.00 90.00 90.00
Last column: nearest neighbours and their distance in Å.
Space group P4/mbm (No. 127)
Inequivalent atoms, fractional coordinates:
Mg (0.0000, 0.0000, 0.0000) [2 per cell]  8 Pd 2.71
Ga (0.1778, 0.3222, 0.0000) [4 per cell]  1 Si 2.50, 4 Pd 2.64
Si (0.1431, 0.6431, 0.0000) [4 per cell]  1 Ga 2.50, 6 Pd 2.51-2.57
Pd (0.0000, 0.5000, 0.5000) [2 per cell]  4 Si 2.57, 4 Pd 2.77
Pd (0.0071, 0.7803, 0.5000) [8 per cell]  2 Si 2.51, 2 Ga 2.64, 2 Mg 2.71, 1 Pd 2.77

Summary:
ΔE_f (raw), eV per formula unit: -4.48
Total energy, hartree per atom: -0.1799

---

# 7
First-principles (PBE) data for a relaxed Ac2CePr3As6 crystal, as listed in Alexandria via LeMat-Bulk.

Lattice parameters (Å, degrees): 19.0768 4.3784 8.7687 90.00 103.30 90.00
Last column: nearest neighbours and their distance in Å.
Space group C2/m (No. 12)
Inequivalent atoms, fractional coordinates:
Ac (0.1657, 0.0000, 0.3324) [4 per cell]  6 As 3.14-3.17
Ce (0.0000, 0.5000, 0.0000) [2 per cell]  6 As 3.04-3.06
Pr (0.0000, 0.5000, 0.5000) [2 per cell]  6 As 3.04-3.14
Pr (0.1671, 0.0000, 0.8345) [4 per cell]  6 As 3.04-3.14
As (0.0033, 0.0000, 0.7581) [4 per cell]  3 Pr 3.04-3.14, 2 Ce 3.06, 1 Ac 3.14
As (0.1636, 0.5000, 0.0735) [4 per cell]  1 Ce 3.04, 3 Pr 3.04-3.14, 2 Ac 3.15
As (0.1638, 0.5000, 0.5906) [4 per cell]  3 Pr 3.04-3.05, 3 Ac 3.16-3.17

Summary:
Total energy, hartree per atom: -0.2266

---

# 8
First-principles (PBE) data for a relaxed MgTaH crystal, as listed in Alexandria via LeMat-Bulk.

Lattice parameters (Å, degrees): 3.0222 3.0242 10.2206 86.74 86.51 64.63
Last column: nearest neighbours and their distance in Å.
Space group P1 (No. 1)
Inequivalent atoms, fractional coordinates:
Mg (0.0000, 0.0000, 0.0000) [1 per cell]  1 H 1.99
Mg (0.3282, 0.3337, 0.2537) [1 per cell]  2 H 2.30-2.56
Ta (0.4077, 0.4106, 0.7332) [1 per cell]  3 H 1.90-1.95
Ta (0.9320, 0.9403, 0.5045) [1 per cell]  3 H 1.93-2.00
H (0.0542, 0.0587, 0.8058) [1 per cell]  3 Ta 1.90-1.95, 1 Mg 1.99
H (0.6041, 0.6095, 0.4218) [1 per cell]  3 Ta 1.93-2.00

Summary:
Energy above the lowest structure with this stoichiometry, meV/atom: 0
Total energy, hartree per atom: -0.2079